First-principles (PBE-GGA) data for crystalline KMn2Sb at its relaxed geometry, as listed in Alexandria via LeMat-Bulk.

Lattice parameters (Å, degrees): 6.510 9.725 3.044 90.00 90.00 90.00
Fractional positions:
K (0.000, 0.000, 0.000)
K (0.500, 0.500, 0.000)
Mn (0.250, 0.250, 0.500)
Mn (0.250, 0.750, 0.500)
Mn (0.750, 0.250, 0.500)
Mn (0.750, 0.750, 0.500)
Sb (0.000, 0.500, 0.000)
Sb (0.500, 0.000, 0.000)

Values from the calculation:
- Total DFT energy (no corrections): -40.6 eV/cell
- Energy relative to the elements, uncorrected: 0.821 eV/atom
- DOS at the Fermi energy: 6.40 states/eV per cell